No. 1
# Mn2TlAs

A relaxed structure of Mn2TlAs (PBE, Alexandria via LeMat-Bulk). Values from VASP.

```
&SYSTEM
  ibrav = 0, nat = 4, ntyp = 3
/
ATOMIC_SPECIES
Mn 54.94 Mn.upf
Tl 204.38 Tl.upf
As 74.92 As.upf
CELL_PARAMETERS angstrom
-1.9598 1.9598 4.7054
1.9598 -1.9598 4.7054
1.9598 1.9598 -4.7054
ATOMIC_POSITIONS angstrom
Mn 0.0000 0.0000 0.0000
Mn 0.0000 1.9598 2.3527
Tl 1.9598 0.0000 2.3527
As 0.0000 0.0000 4.7054
```

Its symmetry is No. 119.

No. 2
# TbPrNd14

A relaxed structure of TbPrNd14 (PBE, Alexandria via LeMat-Bulk). Values from VASP.

```
&SYSTEM
  ibrav = 0, nat = 16, ntyp = 3
/
ATOMIC_SPECIES
Tb 158.93 Tb.upf
Pr 140.91 Pr.upf
Nd 144.24 Nd.upf
CELL_PARAMETERS angstrom
7.3493 0.0000 0.0000
0.0000 7.3493 0.0000
0.0000 0.0000 10.3984
ATOMIC_POSITIONS angstrom
Tb 0.0000 0.0000 0.0000
Pr 3.6747 3.6747 0.0000
Nd 0.0000 0.0000 5.1992
Nd 0.0000 3.6747 0.0000
Nd 0.0000 3.6747 5.1992
Nd 1.8296 1.8296 2.5917
Nd 1.8296 1.8296 7.8068
Nd 1.8296 5.5198 2.5917
Nd 1.8296 5.5198 7.8068
Nd 3.6747 0.0000 0.0000
Nd 3.6747 0.0000 5.1992
Nd 3.6747 3.6747 5.1992
Nd 5.5198 1.8296 2.5917
Nd 5.5198 1.8296 7.8068
Nd 5.5198 5.5198 2.5917
Nd 5.5198 5.5198 7.8068
```

Its symmetry is No. 123.

No. 3
# AgIr2Au

A relaxed structure of AgIr2Au (PBE, Alexandria via LeMat-Bulk). Values from VASP.

```
&SYSTEM
  ibrav = 0, nat = 4, ntyp = 3
/
ATOMIC_SPECIES
Ag 107.87 Ag.upf
Ir 192.22 Ir.upf
Au 196.97 Au.upf
CELL_PARAMETERS angstrom
-1.4042 2.4093 4.8939
1.4042 -2.4093 4.8939
1.4042 2.4093 -4.8939
ATOMIC_POSITIONS angstrom
Ag 0.0000 0.0000 0.0000
Ir 0.0000 0.0000 5.1232
Ir 0.0000 2.4093 2.3641
Au 1.4042 0.0000 2.6357
```

Its symmetry is No. 44.

No. 4
# SmHoPt

A relaxed structure of SmHoPt (PBE, Alexandria via LeMat-Bulk). Values from VASP.

```
&SYSTEM
  ibrav = 0, nat = 3, ntyp = 3
/
ATOMIC_SPECIES
Sm 150.36 Sm.upf
Ho 164.93 Ho.upf
Pt 195.08 Pt.upf
CELL_PARAMETERS angstrom
4.1414 0.0000 0.0000
-2.0707 3.5865 0.0000
0.0000 0.0000 6.2111
ATOMIC_POSITIONS angstrom
Sm 0.0000 0.0000 0.0000
Ho 0.0000 2.3910 3.0134
Pt 2.0707 1.1955 1.5887
```

Its symmetry is No. 156.

No. 5
# Na3Li3Sn2

A relaxed structure of Na3Li3Sn2 (PBE, Alexandria via LeMat-Bulk). Values from VASP.

```
&SYSTEM
  ibrav = 0, nat = 8, ntyp = 3
/
ATOMIC_SPECIES
Na 22.99 Na.upf
Li 6.94 Li.upf
Sn 118.71 Sn.upf
CELL_PARAMETERS angstrom
4.9658 0.0000 0.0000
-0.0070 5.2624 0.0000
-2.4681 -2.3731 7.7954
ATOMIC_POSITIONS angstrom
Na 0.0000 0.0000 0.0000
Na 0.0005 2.5241 1.9952
Na 2.4902 0.3652 5.8001
Li 0.0027 2.5385 5.4695
Li 2.4794 2.6312 0.0000
Li 2.4880 0.3508 2.3259
Sn 0.0072 -0.1982 3.9563
Sn 2.4835 3.0875 3.8391
```

Its symmetry is No. 2.

No. 6
# Tb5Cd12Ru3

A relaxed structure of Tb5Cd12Ru3 (PBE, Alexandria via LeMat-Bulk). Values from VASP.

```
&SYSTEM
  ibrav = 0, nat = 80, ntyp = 3
/
ATOMIC_SPECIES
Tb 158.93 Tb.upf
Cd 112.41 Cd.upf
Ru 101.07 Ru.upf
CELL_PARAMETERS angstrom
-8.3619 8.3619 8.3619
8.3619 -8.3619 8.3619
8.3619 8.3619 -8.3619
ATOMIC_POSITIONS angstrom
Tb 0.0000 0.0000 0.0000
Tb 4.1809 4.1809 -4.1809
Tb 4.1809 -4.1809 4.1809
Tb 8.3619 0.0000 0.0000
Tb 12.5428 2.0905 0.0000
Tb 8.3619 -4.1809 6.2714
Tb 6.2714 8.3619 -4.1809
Tb 6.2714 0.0000 4.1809
Tb 4.1809 6.2714 0.0000
Tb 8.3619 4.1809 2.0905
Tb -4.1809 4.1809 4.1809
Tb 0.0000 8.3619 0.0000
Tb 0.0000 0.0000 8.3619
Tb 4.1809 4.1809 4.1809
Tb 0.0000 4.1809 6.2714
Tb 4.1809 2.0905 8.3619
Tb 2.0905 8.3619 4.1809
Tb 2.0905 0.0000 12.5428
Tb 0.0000 12.5428 2.0905
Tb -4.1809 6.2714 8.3619
Cd 8.2173 -1.5427 2.5265
Cd 12.6873 -1.6544 2.6382
Cd 2.5265 -0.1446 1.5427
Cd 10.0163 5.7236 -4.3255
Cd 10.8884 0.1446 1.5427
Cd 10.0163 -2.6382 4.3255
Cd 1.5427 2.5265 -0.1446
Cd 11.0001 4.0364 -1.6544
Cd 5.7236 4.3255 -1.6544
Cd 6.8192 2.5265 0.1446
Cd -0.1446 1.5427 2.5265
Cd 4.3255 -1.6544 5.7236
Cd 8.2173 6.8192 -2.5265
Cd 4.3255 1.6544 2.6382
Cd 6.8192 -2.5265 8.2173
Cd 5.7236 -4.3255 10.0163
Cd 2.6382 4.3255 1.6544
Cd 9.9046 5.8354 0.1446
Cd 2.5265 8.2173 -1.5427
Cd 10.0163 2.6382 4.0364
Cd 1.6544 2.6382 4.3255
Cd 2.5265 0.1446 6.8192
Cd 4.3255 10.0163 -2.6382
Cd 8.2173 1.5427 5.8354
Cd 0.1446 6.8192 2.5265
Cd 4.0364 -1.6544 11.0001
Cd 5.8354 8.2173 1.5427
Cd 6.7074 5.7236 4.0364
Cd -1.6544 5.7236 4.3255
Cd 5.8354 0.1446 9.9046
Cd -1.5427 2.5265 8.2173
Cd 5.7236 4.0364 6.7074
Cd 2.6382 12.6873 -1.6544
Cd 1.5427 10.8884 0.1446
Cd 4.0364 6.7074 5.7236
Cd 0.1446 1.5427 10.8884
Cd 4.0364 10.0163 2.6382
Cd 8.5064 6.8192 5.8354
Cd 1.5427 5.8354 8.2173
Cd 2.6382 4.0364 10.0163
Cd -2.6382 4.3255 10.0163
Cd 6.8192 5.8354 8.5064
Cd -1.6544 11.0001 4.0364
Cd -2.5265 8.2173 6.8192
Cd -1.6544 2.6382 12.6873
Cd 5.8354 8.5064 6.8192
Cd -4.3255 10.0163 5.7236
Cd 0.1446 9.9046 5.8354
Ru 4.1809 2.0905 0.0000
Ru 8.3619 4.1809 -2.0905
Ru 2.0905 0.0000 4.1809
Ru 10.4523 0.0000 4.1809
Ru 0.0000 4.1809 2.0905
Ru 4.1809 -2.0905 8.3619
Ru 4.1809 10.4523 0.0000
Ru 8.3619 4.1809 6.2714
Ru -2.0905 8.3619 4.1809
Ru 6.2714 8.3619 4.1809
Ru 0.0000 4.1809 10.4523
Ru 4.1809 6.2714 8.3619
```

Its symmetry is No. 230.

Respective ΔH_f (0 K) values: 0.34; 0.01; 0.46; -0.74; -0.12; 0.61 eV per atom.
Respective magnetic moment values: 7.41; 0.00; 0.00; 0.00; 0.00; 0.09 Bohr magnetons per cell.